# 1
# SmH12Pt4 (PBE, optimized geometry)
# **DFT total energy**: -146.11 eV/cell
# **DOS at the Fermi energy**: 0.1218 states/eV/atom
data_SmH12Pt4
_chemical_formula_sum 'Sm2 H24 Pt8'
_cell_length_a 7.0641
_cell_length_b 7.0641
_cell_length_c 7.0641
_cell_angle_alpha 90.00
_cell_angle_beta 90.00
_cell_angle_gamma 90.00
_symmetry_space_group_name_H-M 'I m -3'
_symmetry_Int_Tables_number 204
_symmetry_space_group_name_Hall '-I 2 2 3'
loop_
_atom_site_label
_atom_site_fract_x
_atom_site_fract_y
_atom_site_fract_z
_atom_site_occupancy
Sm1 0.0000 0.0000 0.0000 1
H1 0.0000 0.2570 0.2552 1
Pt1 0.2500 0.2500 0.2500 1

---

# 2
# KCdCo (PBE, optimized geometry)
# **DFT formation energy**: 2.65 eV/f.u.
# **DFT total energy**: -25.87 eV/cell
# **DOS at the Fermi energy**: 2.5629 states/eV/atom
data_KCdCo
_chemical_formula_sum 'K4 Cd4 Co4'
_cell_length_a 6.9763
_cell_length_b 6.9763
_cell_length_c 6.9763
_cell_angle_alpha 90.00
_cell_angle_beta 90.00
_cell_angle_gamma 90.00
_symmetry_space_group_name_H-M 'F -4 3 m'
_symmetry_Int_Tables_number 216
_symmetry_space_group_name_Hall 'F -4 2 3'
loop_
_atom_site_label
_atom_site_fract_x
_atom_site_fract_y
_atom_site_fract_z
_atom_site_occupancy
K1 0.0000 0.0000 0.0000 1
Cd1 0.0000 0.0000 0.5000 1
Co1 0.2500 0.2500 0.2500 1

---

# 3
# LiCd3Ag5 (PBE, optimized geometry)
# **DFT formation energy**: -0.48 eV/f.u.
# **DFT total energy**: -38.78 eV/cell
# **DOS at the Fermi energy**: 0.3446 states/eV/atom
data_LiCd3Ag5
_chemical_formula_sum 'Li2 Cd6 Ag10'
_cell_length_a 8.2796
_cell_length_b 8.2796
_cell_length_c 5.7950
_cell_angle_alpha 90.00
_cell_angle_beta 90.00
_cell_angle_gamma 120.00
_symmetry_space_group_name_H-M 'P 63/m c m'
_symmetry_Int_Tables_number 193
_symmetry_space_group_name_Hall '-P 6c 2'
loop_
_atom_site_label
_atom_site_fract_x
_atom_site_fract_y
_atom_site_fract_z
_atom_site_occupancy
Li1 0.0000 0.0000 0.0000 1
Cd1 0.0000 0.3389 0.2500 1
Ag1 0.0000 0.3249 0.7500 1
Ag2 0.3333 0.6667 0.0000 1

---

# 4
# Al2TcPd (PBE, optimized geometry)
# **DFT formation energy**: -0.18 eV/f.u.
# **DFT total energy**: -92.91 eV/cell
# **DOS at the Fermi energy**: 0.6041 states/eV/atom
data_Al2TcPd
_chemical_formula_sum 'Al8 Tc4 Pd4'
_cell_length_a 6.6922
_cell_length_b 6.6922
_cell_length_c 5.7230
_cell_angle_alpha 90.00
_cell_angle_beta 90.00
_cell_angle_gamma 90.00
_symmetry_space_group_name_H-M 'I -4 2 d'
_symmetry_Int_Tables_number 122
_symmetry_space_group_name_Hall 'I -4 2bw'
loop_
_atom_site_label
_atom_site_fract_x
_atom_site_fract_y
_atom_site_fract_z
_atom_site_occupancy
Al1 0.2385 0.2500 0.1250 1
Tc1 0.0000 0.0000 0.5000 1
Pd1 0.0000 0.0000 0.0000 1